A relaxed SrMgS2N crystal. Source: Alexandria, functional PBE.

POSCAR file:
```
SrMgS2N
1.0
-3.557 2.020 -2.858
-3.067 0.164 3.933
1.419 3.839 0.947
S N Mg Sr
2 1 1 1
Cartesian
-1.779 1.010 -1.429
-1.533 0.082 1.967
0.710 1.920 0.473
0.000 0.000 0.000
-2.603 3.011 1.011
```

Summary:
The value obtained for the relative energy among the computed polymorphs is 0.0000 eV per atom. Its symmetry is P4/mmm. The uncorrected formation energy is -0.42 eV per atom.